No. 1
Below is crystalline Si3RuW at its relaxed geometry, with properties calculated at the PBE level.

```
Si3RuW
1.0
4.5520 0.0000 0.0000
0.0000 4.5520 0.0000
0.0000 0.0000 4.5520
Si Ru W
3 1 1
Direct
0.0000 0.0000 0.5000 Si
0.0000 0.5000 0.0000 Si
0.5000 0.0000 0.0000 Si
0.0000 0.0000 0.0000 Ru
0.5000 0.5000 0.5000 W
```

* spin magnetization: 3.64 μB/f.u.
* formation energy without anion corrections: 1.197 eV/atom
* final energy: -6.50 eV/atom
* Fermi-level density of states: 3.9 states/eV/f.u.

---

No. 2
Below is crystalline SiRuW2 at its relaxed geometry, with properties calculated at the PBE level.

```
SiRuW2
1.0
0.0000 3.0841 3.0841
3.0841 0.0000 3.0841
3.0841 3.0841 0.0000
Si Ru W
1 1 2
Direct
0.0000 0.0000 0.0000 Si
0.2500 0.2500 0.2500 Ru
0.5000 0.5000 0.5000 W
0.7500 0.7500 0.7500 W
```

* spin magnetization: 0.00 μB/f.u.
* formation energy without anion corrections: 0.020 eV/atom
* final energy: -10.13 eV/atom
* Fermi-level density of states: 3.0 states/eV/f.u.

---

No. 3
Below is crystalline Si2RuW at its relaxed geometry, with properties calculated at the PBE level.

```
Si2RuW
1.0
2.7695 0.0000 0.0000
0.0000 2.7695 0.0000
0.0000 0.0000 7.7244
Si Ru W
2 1 1
Direct
0.0000 0.0000 0.0000 Si
0.5000 0.5000 0.3003 Si
0.5000 0.5000 0.7917 Ru
0.0000 0.0000 0.5478 W
```

* spin magnetization: 0.00 μB/f.u.
* formation energy without anion corrections: 0.090 eV/atom
* final energy: -8.18 eV/atom
* Fermi-level density of states: 3.4 states/eV/f.u.

---

Q: Which formula does entry 1 have?
A: Si3RuW

---

Q: formation energy without anion corrections of number 3 (Si2RuW)?
A: 0.090 eV/atom

---

Q: The lowest final energy belongs to which entry?
A: SiRuW2